1.
The following is a DFT calculation (PBE-GGA) of a relaxed structure of ScAl4Co.

Unit cell a=3.956 b=3.956 c=7.376 alpha=90.00 beta=90.00 gamma=90.00
Sites, in units of the cell vectors:
Sc: 0.000 0.000 0.000
Al: 0.000 0.500 0.311
Al: 0.000 0.500 0.689
Al: 0.500 0.000 0.311
Al: 0.500 0.000 0.689
Co: 0.500 0.500 0.500

Values from the calculation:
- calculated formation energy (eV per atom) = -0.0873
- total energy (eV per cell) = -28.931
- crystal system = tetragonal
- Fermi-level density of states (states/eV/f.u.) = 4.992

=====

2.
The following is a DFT calculation (PBE-GGA) of a relaxed structure of Sc3AlCo4.

Unit cell a=3.087 b=4.291 c=8.596 alpha=90.00 beta=90.00 gamma=90.00
Sites, in units of the cell vectors:
Sc: 0.000 0.000 0.000
Sc: 0.000 0.500 0.259
Sc: 0.000 0.500 0.741
Al: 0.000 0.000 0.500
Co: 0.500 0.000 0.264
Co: 0.500 0.000 0.736
Co: 0.500 0.500 0.000
Co: 0.500 0.500 0.500

Values from the calculation:
- calculated formation energy (eV per atom) = -0.3953
- total energy (eV per cell) = -54.323
- crystal system = orthorhombic
- Fermi-level density of states (states/eV/f.u.) = 3.086

=====

3.
The following is a DFT calculation (PBE-GGA) of a relaxed structure of ScAlCo2.

Unit cell a=2.862 b=2.862 c=25.119 alpha=90.00 beta=90.00 gamma=120.00
Sites, in units of the cell vectors:
Sc: 0.000 0.000 0.000
Sc: 0.333 0.667 0.667
Sc: 0.667 0.333 0.333
Al: 0.000 0.000 0.232
Al: 0.333 0.667 0.899
Al: 0.667 0.333 0.565
Co: 0.000 0.000 0.490
Co: 0.000 0.000 0.752
Co: 0.333 0.667 0.156
Co: 0.333 0.667 0.418
Co: 0.667 0.333 0.085
Co: 0.667 0.333 0.823

Values from the calculation:
- calculated formation energy (eV per atom) = 0.1102
- total energy (eV per cell) = -71.536
- crystal system = trigonal
- Fermi-level density of states (states/eV/f.u.) = 4.487

=====

Copy entry 3 word for word.
The following is a DFT calculation (PBE-GGA) of a relaxed structure of ScAlCo2.

Unit cell a=2.862 b=2.862 c=25.119 alpha=90.00 beta=90.00 gamma=120.00
Sites, in units of the cell vectors:
Sc: 0.000 0.000 0.000
Sc: 0.333 0.667 0.667
Sc: 0.667 0.333 0.333
Al: 0.000 0.000 0.232
Al: 0.333 0.667 0.899
Al: 0.667 0.333 0.565
Co: 0.000 0.000 0.490
Co: 0.000 0.000 0.752
Co: 0.333 0.667 0.156
Co: 0.333 0.667 0.418
Co: 0.667 0.333 0.085
Co: 0.667 0.333 0.823

Values from the calculation:
- calculated formation energy (eV per atom) = 0.1102
- total energy (eV per cell) = -71.536
- crystal system = trigonal
- Fermi-level density of states (states/eV/f.u.) = 4.487

=====

Q: Which of these has the lowest total energy?
A: ScAlCo2

=====

Q: Which of these has the lowest calculated formation energy?
A: Sc3AlCo4